# PBE CePrTm2, relaxed
# ΔE_f, meV/atom: 136
# Space-group type: C2/m
# ρ, Mg/m³: 8.20
# Energy above the lowest structure with this stoichiometry, eV/atom: 0.077
data_CePrTm2
_symmetry_space_group_name_H-M 'P 1'
_symmetry_Int_Tables_number 1
_cell_length_a 11.539
_cell_length_b 11.539
_cell_length_c 6.368
_cell_angle_alpha 86.17
_cell_angle_beta 86.17
_cell_angle_gamma 17.23
loop_
_symmetry_equiv_pos_as_xyz
'x,y,z'
loop_
_atom_site_label
_atom_site_type_symbol
_atom_site_fract_x
_atom_site_fract_y
_atom_site_fract_z
Pr1 Pr 0.992 0.992 0.243
Pr2 Pr 0.008 0.008 0.757
Tm1 Tm 0.133 0.133 0.456
Tm2 Tm 0.625 0.625 0.971
Tm3 Tm 0.867 0.867 0.544
Tm4 Tm 0.375 0.375 0.029
Ce1 Ce 0.751 0.751 0.245
Ce2 Ce 0.249 0.249 0.755

***

# PBE Tl4CdSe6, relaxed
# Space-group type: Cc
# ρ, Mg/m³: 6.35
# Formation energy without anion corrections, eV per atom: -0.19
data_Tl4CdSe6
_symmetry_space_group_name_H-M 'P 1'
_symmetry_Int_Tables_number 1
_cell_length_a 8.556
_cell_length_b 8.053
_cell_length_c 13.385
_cell_angle_alpha 74.26
_cell_angle_beta 71.36
_cell_angle_gamma 57.91
loop_
_symmetry_equiv_pos_as_xyz
'x,y,z'
loop_
_atom_site_label
_atom_site_type_symbol
_atom_site_fract_x
_atom_site_fract_y
_atom_site_fract_z
Tl1 Tl 0.278 0.984 0.654
Tl2 Tl 0.714 0.214 0.831
Tl3 Tl 0.768 0.142 0.153
Tl4 Tl 0.084 0.484 0.154
Tl5 Tl 0.631 0.718 0.973
Tl6 Tl 0.241 0.714 0.331
Tl7 Tl 0.677 0.218 0.473
Tl8 Tl 0.938 0.642 0.653
Se1 Se 0.988 0.064 0.948
Se2 Se 0.457 0.621 0.471
Se3 Se 0.618 0.619 0.782
Se4 Se 0.682 0.860 0.184
Se5 Se 0.460 0.534 0.137
Se6 Se 0.981 0.644 0.935
Se7 Se 0.000 0.564 0.448
Se8 Se 0.450 0.121 0.971
Se9 Se 0.441 0.144 0.435
Se10 Se 0.274 0.360 0.684
Se11 Se 0.981 0.119 0.282
Se12 Se 0.869 0.034 0.637
Cd1 Cd 0.148 0.285 0.886
Cd2 Cd 0.680 0.785 0.386

***

# PBE CsZnP, relaxed
# ΔE_f, meV/atom: -149
# Space-group type: P1
# ρ, Mg/m³: 3.87
data_CsZnP
_symmetry_space_group_name_H-M 'P 1'
_symmetry_Int_Tables_number 1
_cell_length_a 5.012
_cell_length_b 7.424
_cell_length_c 5.779
_cell_angle_alpha 88.12
_cell_angle_beta 74.51
_cell_angle_gamma 106.75
loop_
_symmetry_equiv_pos_as_xyz
'x,y,z'
loop_
_atom_site_label
_atom_site_type_symbol
_atom_site_fract_x
_atom_site_fract_y
_atom_site_fract_z
P1 P 0.431 0.736 0.274
P2 P 0.156 0.621 0.047
Zn1 Zn 0.291 0.830 0.679
Zn2 Zn 0.725 0.895 0.871
Cs1 Cs 0.127 0.110 0.231
Cs2 Cs 0.696 0.443 0.638